An optimized crystal structure of Ac2Tc2C2N, computed with GGA-PBE.

Properties
formation energy without anion corrections: -1.4 eV per formula unit
raw total energy: -57.1 eV for the cell shown

a = 5.902 Å, b = 5.902 Å, c = 7.009 Å
α = 121.85°, β = 121.85°, γ = 35.05°
Fractional coordinates of all 7 atoms:
Ac 0.067 0.067 0.335
Ac 0.933 0.933 0.665
Tc 0.299 0.299 0.913
Tc 0.701 0.701 0.087
C 0.309 0.309 0.238
C 0.691 0.691 0.762
N 0.500 0.500 0.000

=====

An optimized crystal structure of Ac3TeCN, computed with GGA-PBE.

Properties
formation energy without anion corrections: -5.1 eV per formula unit
raw total energy: -76.2 eV for the cell shown

a = 8.209 Å, b = 4.254 Å, c = 10.711 Å
α = 90.00°, β = 110.15°, γ = 90.00°
Fractional coordinates of all 12 atoms:
Ac 0.026 0.250 0.361
Ac 0.294 0.250 0.945
Ac 0.419 0.750 0.670
Ac 0.581 0.250 0.330
Ac 0.706 0.750 0.055
Ac 0.974 0.750 0.639
Te 0.214 0.750 0.196
Te 0.786 0.250 0.804
C 0.185 0.250 0.611
C 0.815 0.750 0.389
N 0.406 0.750 0.884
N 0.594 0.250 0.116

=====

An optimized crystal structure of Ac2TiC2N6, computed with GGA-PBE.

Properties
formation energy without anion corrections: -9.5 eV per formula unit
raw total energy: -94.1 eV for the cell shown

a = 5.310 Å, b = 5.310 Å, c = 6.262 Å
α = 114.95°, β = 114.95°, γ = 59.21°
Fractional coordinates of all 11 atoms:
Ac 0.219 0.219 0.191
Ac 0.781 0.781 0.809
Ti 0.000 0.000 0.500
C 0.423 0.423 0.726
C 0.577 0.577 0.274
N 0.262 0.262 0.680
N 0.268 0.722 0.254
N 0.278 0.732 0.746
N 0.722 0.268 0.254
N 0.732 0.278 0.746
N 0.738 0.738 0.320

=====

An optimized crystal structure of Ac2TlC2N6, computed with GGA-PBE.

Properties
formation energy without anion corrections: -3.1 eV per formula unit
raw total energy: -82.1 eV for the cell shown

a = 5.469 Å, b = 5.675 Å, c = 6.771 Å
α = 105.12°, β = 112.51°, γ = 98.60°
Fractional coordinates of all 11 atoms:
Ac 0.102 0.217 0.331
Ac 0.898 0.783 0.669
Tl 0.500 0.500 0.000
C 0.229 0.716 0.242
C 0.771 0.284 0.758
N 0.079 0.733 0.363
N 0.199 0.829 0.085
N 0.420 0.576 0.289
N 0.580 0.424 0.711
N 0.801 0.171 0.915
N 0.921 0.267 0.637

=====

An optimized crystal structure of Ac2TmC2N6, computed with GGA-PBE.

Properties
formation energy without anion corrections: -9.3 eV per formula unit
raw total energy: -90.4 eV for the cell shown

a = 5.542 Å, b = 5.542 Å, c = 6.622 Å
α = 117.47°, β = 117.47°, γ = 58.37°
Fractional coordinates of all 11 atoms:
Ac 0.215 0.215 0.199
Ac 0.785 0.785 0.801
Tm 0.000 0.000 0.500
C 0.439 0.439 0.744
C 0.561 0.561 0.256
N 0.261 0.698 0.224
N 0.277 0.277 0.669
N 0.302 0.739 0.776
N 0.698 0.261 0.224
N 0.723 0.723 0.331
N 0.739 0.302 0.776

=====

An optimized crystal structure of Ac2VC2N6, computed with GGA-PBE.

Properties
formation energy without anion corrections: -7.7 eV per formula unit
raw total energy: -93.4 eV for the cell shown

a = 5.275 Å, b = 5.275 Å, c = 6.175 Å
α = 114.96°, β = 114.96°, γ = 59.49°
Fractional coordinates of all 11 atoms:
Ac 0.220 0.220 0.186
Ac 0.780 0.780 0.814
V 0.000 0.000 0.500
C 0.418 0.418 0.722
C 0.582 0.582 0.278
N 0.258 0.258 0.686
N 0.272 0.727 0.259
N 0.273 0.728 0.741
N 0.727 0.272 0.259
N 0.728 0.273 0.741
N 0.742 0.742 0.314

=====

An optimized crystal structure of AcYC3N6, computed with GGA-PBE.

Properties
formation energy without anion corrections: -8.3 eV per formula unit
raw total energy: -96.5 eV for the cell shown

a = 6.408 Å, b = 6.408 Å, c = 6.408 Å
α = 64.21°, β = 64.21°, γ = 64.21°
Fractional coordinates of all 11 atoms:
Ac 0.000 0.000 0.000
Y 0.640 0.640 0.640
C 0.114 0.570 0.756
C 0.570 0.756 0.114
C 0.756 0.114 0.570
N 0.225 0.694 0.742
N 0.449 0.771 0.998
N 0.694 0.742 0.225
N 0.742 0.225 0.694
N 0.771 0.998 0.449
N 0.998 0.449 0.771

=====

An optimized crystal structure of Ac2ZnC2N6, computed with GGA-PBE.

Properties
formation energy without anion corrections: -2.9 eV per formula unit
raw total energy: -80.8 eV for the cell shown

a = 5.495 Å, b = 5.495 Å, c = 5.573 Å
α = 90.00°, β = 90.00°, γ = 120.00°
Fractional coordinates of all 11 atoms:
Ac 0.333 0.667 0.283
Ac 0.667 0.333 0.717
Zn 0.000 0.000 0.000
C 0.333 0.667 0.783
C 0.667 0.333 0.217
N 0.191 0.382 0.770
N 0.191 0.809 0.770
N 0.382 0.191 0.230
N 0.618 0.809 0.770
N 0.809 0.191 0.230
N 0.809 0.618 0.230

=====

An optimized crystal structure of NaAc2C, computed with GGA-PBE.

Properties
raw total energy: -18.5 eV for the cell shown
energy of formation: 0.08 eV/atom

a = 10.580 Å, b = 10.580 Å, c = 10.580 Å
α = 21.19°, β = 21.19°, γ = 21.19°
Fractional coordinates of all 4 atoms:
Na 0.000 0.000 0.000
Ac 0.216 0.216 0.216
Ac 0.784 0.784 0.784
C 0.500 0.500 0.500

=====

An optimized crystal structure of NaAcC2O6, computed with GGA-PBE.

Properties
formation energy without anion corrections: -21.1 eV per formula unit
raw total energy: -149.4 eV for the cell shown

a = 6.673 Å, b = 6.673 Å, c = 6.820 Å
α = 103.86°, β = 103.86°, γ = 94.89°
Fractional coordinates of all 20 atoms:
Na 0.158 0.842 0.750
Na 0.842 0.158 0.250
Ac 0.367 0.633 0.250
Ac 0.633 0.367 0.750
C 0.158 0.322 0.718
C 0.322 0.158 0.218
C 0.678 0.842 0.782
C 0.842 0.678 0.282
O 0.039 0.686 0.361
O 0.167 0.255 0.165
O 0.255 0.167 0.665
O 0.269 0.496 0.852
O 0.314 0.961 0.139
O 0.496 0.269 0.352
O 0.504 0.731 0.648
O 0.686 0.039 0.861
O 0.731 0.504 0.148
O 0.745 0.833 0.335
O 0.833 0.745 0.835
O 0.961 0.314 0.639

=====

An optimized crystal structure of NaAc2CO6, computed with GGA-PBE.

Properties
formation energy without anion corrections: -21.2 eV per formula unit
raw total energy: -139.4 eV for the cell shown

a = 6.666 Å, b = 3.993 Å, c = 13.959 Å
α = 90.00°, β = 92.19°, γ = 90.00°
Fractional coordinates of all 20 atoms:
Na 0.000 0.000 0.000
Na 0.000 0.500 0.500
Ac 0.245 0.010 0.735
Ac 0.245 0.490 0.235
Ac 0.755 0.510 0.765
Ac 0.755 0.990 0.265
C 0.500 0.000 0.500
C 0.500 0.500 0.000
O 0.051 0.509 0.662
O 0.051 0.991 0.162
O 0.327 0.009 0.515
O 0.327 0.491 0.015
O 0.411 0.510 0.815
O 0.411 0.990 0.315
O 0.589 0.010 0.685
O 0.589 0.490 0.185
O 0.673 0.509 0.985
O 0.673 0.991 0.485
O 0.949 0.009 0.838
O 0.949 0.491 0.338

=====

An optimized crystal structure of AcNb2C, computed with GGA-PBE.

Properties
raw total energy: -32.8 eV for the cell shown
energy of formation: 0.18 eV/atom

a = 8.860 Å, b = 8.860 Å, c = 8.860 Å
α = 21.72°, β = 21.72°, γ = 21.72°
Fractional coordinates of all 4 atoms:
Ac 0.000 0.000 0.000
Nb 0.125 0.125 0.125
Nb 0.875 0.875 0.875
C 0.500 0.500 0.500

=====

An optimized crystal structure of AcNbC, computed with GGA-PBE.

Properties
raw total energy: -91.8 eV for the cell shown
energy of formation: 0.15 eV/atom

a = 17.771 Å, b = 4.422 Å, c = 3.917 Å
α = 90.00°, β = 90.00°, γ = 90.00°
Fractional coordinates of all 12 atoms:
Ac 0.159 0.250 0.001
Ac 0.341 0.750 0.501
Ac 0.659 0.250 0.499
Ac 0.841 0.750 0.999
Nb 0.053 0.750 0.502
Nb 0.447 0.250 0.002
Nb 0.553 0.750 0.998
Nb 0.947 0.250 0.498
C 0.062 0.250 0.501
C 0.438 0.750 0.001
C 0.562 0.250 0.999
C 0.938 0.750 0.499

=====

An optimized crystal structure of AcNbC2, computed with GGA-PBE.

Properties
raw total energy: -32.1 eV for the cell shown
energy of formation: 0.14 eV/atom

a = 6.486 Å, b = 6.486 Å, c = 6.486 Å
α = 30.70°, β = 30.70°, γ = 30.70°
Fractional coordinates of all 4 atoms:
Ac 0.000 0.000 0.000
Nb 0.500 0.500 0.500
C 0.230 0.230 0.230
C 0.770 0.770 0.770

=====

An optimized crystal structure of Ac3NdC8, computed with GGA-PBE.

Properties
raw total energy: -88.6 eV for the cell shown
energy of formation: 0.19 eV/atom

a = 6.785 Å, b = 6.778 Å, c = 7.674 Å
α = 55.58°, β = 55.50°, γ = 68.92°
Fractional coordinates of all 12 atoms:
Ac 0.000 0.000 0.000
Ac 0.251 0.251 0.249
Ac 0.751 0.751 0.749
Nd 0.500 0.500 0.500
C 0.106 0.631 0.894
C 0.124 0.446 0.876
C 0.368 0.893 0.107
C 0.446 0.124 0.554
C 0.553 0.876 0.124
C 0.631 0.106 0.369
C 0.876 0.553 0.447
C 0.893 0.368 0.632

=====

An optimized crystal structure of AcNd3C, computed with GGA-PBE.

Properties
raw total energy: -27.1 eV for the cell shown
energy of formation: 0.11 eV/atom

a = 5.308 Å, b = 5.308 Å, c = 5.308 Å
α = 90.00°, β = 90.00°, γ = 90.00°
Fractional coordinates of all 5 atoms:
Ac 0.000 0.000 0.000
Nd 0.000 0.500 0.500
Nd 0.500 0.000 0.500
Nd 0.500 0.500 0.000
C 0.500 0.500 0.500

=====

An optimized crystal structure of AcNd2C, computed with GGA-PBE.

Properties
raw total energy: -22.7 eV for the cell shown
energy of formation: 0.03 eV/atom

a = 10.635 Å, b = 10.635 Å, c = 10.635 Å
α = 20.16°, β = 20.16°, γ = 20.16°
Fractional coordinates of all 4 atoms:
Ac 0.000 0.000 0.000
Nd 0.122 0.122 0.122
Nd 0.878 0.878 0.878
C 0.500 0.500 0.500

=====

An optimized crystal structure of AcNd3C8, computed with GGA-PBE.

Properties
raw total energy: -90.4 eV for the cell shown
energy of formation: 0.15 eV/atom

a = 6.543 Å, b = 6.543 Å, c = 6.543 Å
α = 112.42°, β = 112.42°, γ = 103.72°
Fractional coordinates of all 12 atoms:
Ac 0.000 0.000 0.000
Nd 0.250 0.750 0.500
Nd 0.500 0.500 0.000
Nd 0.750 0.250 0.500
C 0.079 0.079 0.653
C 0.119 0.578 0.000
C 0.422 0.422 0.542
C 0.426 0.426 0.347
C 0.574 0.921 0.000
C 0.578 0.119 0.000
C 0.881 0.881 0.458
C 0.921 0.574 0.000

=====

An optimized crystal structure of Ac2NdC, computed with GGA-PBE.

Properties
raw total energy: -18.0 eV for the cell shown
energy of formation: 1.05 eV/atom

a = 11.049 Å, b = 11.049 Å, c = 11.049 Å
α = 21.19°, β = 21.19°, γ = 21.19°
Fractional coordinates of all 4 atoms:
Ac 0.072 0.072 0.072
Ac 0.928 0.928 0.928
Nd 0.500 0.500 0.500
C 0.000 0.000 0.000

=====

An optimized crystal structure of AcNd2OsC2, computed with GGA-PBE.

Properties
raw total energy: -86.8 eV for the cell shown
energy of formation: -0.01 eV/atom

a = 5.909 Å, b = 11.539 Å, c = 4.031 Å
α = 90.00°, β = 90.00°, γ = 90.00°
Fractional coordinates of all 12 atoms:
Ac 0.000 0.000 0.000
Ac 0.500 0.500 0.500
Nd 0.018 0.297 0.500
Nd 0.482 0.797 0.000
Nd 0.518 0.203 0.000
Nd 0.982 0.703 0.500
Os 0.000 0.500 0.000
Os 0.500 0.000 0.500
C 0.236 0.381 0.000
C 0.264 0.881 0.500
C 0.736 0.119 0.500
C 0.764 0.619 0.000